# 1
{"formula": "Li2AlCuB", "functional": "PBE", "state": "optimized geometry", "lattice_angstrom": [[4.309, 0.000, 0.000], [0.000, 4.309, 0.000], [0.000, 0.000, 4.569]], "species": ["Li", "Li", "Al", "Cu", "B"], "fractional_positions": [[0.000, 0.500, 0.000], [0.500, 0.000, 0.000], [0.000, 0.000, 0.500], [0.000, 0.000, 0.000], [0.500, 0.500, 0.500]], "magnetic_moment_mub_per_cell": 0.00, "energy_ev_per_cell": -13.75, "vol_a3_per_cell": 85, "delta_e_f_mev_per_atom": 919}



# 2
{"formula": "AlCuNi2B", "functional": "PBE", "state": "optimized geometry", "lattice_angstrom": [[4.368, 0.000, 0.000], [0.000, 4.368, 0.000], [0.000, 0.000, 3.631]], "species": ["Al", "Cu", "Ni", "Ni", "B"], "fractional_positions": [[0.000, 0.000, 0.000], [0.500, 0.500, 0.500], [0.000, 0.500, 0.500], [0.500, 0.000, 0.500], [0.500, 0.500, 0.000]], "magnetic_moment_mub_per_cell": 0.00, "e_above_lowest_polymorph_ev_per_fu": 0.00, "energy_ev_per_cell": -21.85, "vol_a3_per_cell": 69, "delta_e_f_mev_per_atom": 846}



# 3
{"formula": "AlCuNi2B", "functional": "PBE", "state": "optimized geometry", "lattice_angstrom": [[4.294, 0.000, 0.000], [0.000, 4.294, 0.000], [0.000, 0.000, 4.291]], "species": ["Al", "Cu", "Ni", "Ni", "B"], "fractional_positions": [[0.000, 0.000, 0.000], [0.000, 0.000, 0.500], [0.000, 0.500, 0.500], [0.500, 0.000, 0.500], [0.500, 0.500, 0.000]], "magnetic_moment_mub_per_cell": 0.00, "e_above_lowest_polymorph_ev_per_fu": 3.09, "energy_ev_per_cell": -18.76, "vol_a3_per_cell": 79, "delta_e_f_mev_per_atom": 1464}



# 4
{"formula": "Al6Cu2B4O17", "functional": "PBE", "state": "optimized geometry", "lattice_angstrom": [[7.452, -2.865, 0.000], [7.452, 2.865, 0.000], [-7.447, 0.000, 7.655]], "species": ["Al", "Al", "Al", "Al", "Al", "Al", "Cu", "Cu", "B", "B", "B", "B", "O", "O", "O", "O", "O", "O", "O", "O", "O", "O", "O", "O", "O", "O", "O", "O", "O"], "fractional_positions": [[0.000, 0.000, 0.000], [0.314, 0.811, 0.836], [0.318, 0.822, 0.345], [0.811, 0.314, 0.836], [0.822, 0.318, 0.345], [0.842, 0.842, 0.054], [0.630, 0.630, 0.680], [0.787, 0.787, 0.626], [0.050, 0.050, 0.581], [0.312, 0.312, 0.573], [0.318, 0.318, 0.101], [0.574, 0.574, 0.098], [0.028, 0.028, 0.198], [0.041, 0.448, 0.501], [0.055, 0.055, 0.455], [0.171, 0.595, 0.165], [0.189, 0.189, 0.970], [0.252, 0.845, 0.648], [0.362, 0.784, 0.031], [0.441, 0.441, 0.714], [0.448, 0.041, 0.501], [0.572, 0.572, 0.225], [0.595, 0.171, 0.165], [0.603, 0.603, 0.480], [0.673, 0.673, 0.912], [0.784, 0.362, 0.031], [0.836, 0.836, 0.880], [0.845, 0.252, 0.648], [0.965, 0.965, 0.790]], "magnetic_moment_mub_per_cell": 2.04, "energy_ev_per_cell": -213.60, "vol_a3_per_cell": 327}



# 5
{"formula": "AlCu2B2Rh5", "functional": "PBE", "state": "optimized geometry", "lattice_angstrom": [[9.308, 0.000, 0.000], [0.000, 9.308, 0.000], [0.000, 0.000, 2.865]], "species": ["Al", "Al", "Cu", "Cu", "Cu", "Cu", "B", "B", "B", "B", "Rh", "Rh", "Rh", "Rh", "Rh", "Rh", "Rh", "Rh", "Rh", "Rh"], "fractional_positions": [[0.000, 0.000, 0.000], [0.500, 0.500, 0.000], [0.177, 0.323, 0.000], [0.323, 0.823, 0.000], [0.677, 0.177, 0.000], [0.823, 0.677, 0.000], [0.128, 0.628, 0.000], [0.372, 0.128, 0.000], [0.628, 0.872, 0.000], [0.872, 0.372, 0.000], [0.000, 0.500, 0.500], [0.069, 0.787, 0.500], [0.213, 0.069, 0.500], [0.287, 0.569, 0.500], [0.431, 0.287, 0.500], [0.500, 0.000, 0.500], [0.569, 0.713, 0.500], [0.713, 0.431, 0.500], [0.787, 0.931, 0.500], [0.931, 0.213, 0.500]], "magnetic_moment_mub_per_cell": 0.00, "energy_ev_per_cell": -131.16, "vol_a3_per_cell": 248, "delta_e_f_mev_per_atom": -353}



# 6
{"formula": "ScAl2CuB", "functional": "PBE", "state": "optimized geometry", "lattice_angstrom": [[4.612, 0.000, 0.000], [0.000, 4.612, 0.000], [0.000, 0.000, 3.874]], "species": ["Sc", "Al", "Al", "Cu", "B"], "fractional_positions": [[0.000, 0.000, 0.000], [0.000, 0.500, 0.500], [0.500, 0.000, 0.500], [0.500, 0.500, 0.500], [0.500, 0.500, 0.000]], "magnetic_moment_mub_per_cell": 0.00, "energy_ev_per_cell": -22.53, "vol_a3_per_cell": 82, "delta_e_f_mev_per_atom": 412}



# 7
{"formula": "AlCuBSe2", "functional": "PBE", "state": "optimized geometry", "lattice_angstrom": [[4.842, 0.000, 0.000], [0.000, 4.842, 0.000], [0.000, 0.000, 4.579]], "species": ["Al", "Cu", "B", "Se", "Se"], "fractional_positions": [[0.000, 0.000, 0.000], [0.000, 0.000, 0.500], [0.500, 0.500, 0.000], [0.000, 0.500, 0.500], [0.500, 0.000, 0.500]], "magnetic_moment_mub_per_cell": 0.00, "energy_ev_per_cell": -15.80, "vol_a3_per_cell": 107}



# 8
{"formula": "SrAl2CuB", "functional": "PBE", "state": "optimized geometry", "lattice_angstrom": [[5.893, 0.000, 0.000], [0.000, 5.893, 0.000], [0.000, 0.000, 4.770]], "species": ["Sr", "Al", "Al", "Cu", "B"], "fractional_positions": [[0.000, 0.000, 0.000], [0.000, 0.500, 0.000], [0.500, 0.000, 0.000], [0.500, 0.500, 0.500], [0.000, 0.000, 0.500]], "magnetic_moment_mub_per_cell": 0.00, "energy_ev_per_cell": -9.54, "vol_a3_per_cell": 166, "delta_e_f_mev_per_atom": 2079}



# 9
{"formula": "AlVCu2B", "functional": "PBE", "state": "optimized geometry", "lattice_angstrom": [[4.561, 0.000, 0.000], [0.000, 4.561, 0.000], [0.000, 0.000, 3.968]], "species": ["Al", "V", "Cu", "Cu", "B"], "fractional_positions": [[0.000, 0.000, 0.000], [0.500, 0.500, 0.500], [0.000, 0.500, 0.500], [0.500, 0.000, 0.500], [0.500, 0.500, 0.000]], "magnetic_moment_mub_per_cell": 1.33, "energy_ev_per_cell": -21.33, "vol_a3_per_cell": 83, "delta_e_f_mev_per_atom": 1280}



# 10
{"formula": "Dy3AlB", "functional": "PBE", "state": "optimized geometry", "lattice_angstrom": [[4.990, 0.000, 0.000], [0.000, 4.990, 0.000], [0.000, 0.000, 4.990]], "species": ["Dy", "Dy", "Dy", "Al", "B"], "fractional_positions": [[0.000, 0.000, 0.500], [0.000, 0.500, 0.000], [0.500, 0.000, 0.000], [0.500, 0.500, 0.500], [0.000, 0.000, 0.000]], "magnetic_moment_mub_per_cell": 0.00, "energy_ev_per_cell": -24.94, "vol_a3_per_cell": 124, "delta_e_f_mev_per_atom": -142}



# 11
{"formula": "DyAlB", "functional": "PBE", "state": "optimized geometry", "lattice_angstrom": [[0.000, 3.970, 4.364], [2.850, 0.000, 4.364], [2.850, 3.970, 0.000]], "species": ["Dy", "Dy", "Al", "Al", "B", "B"], "fractional_positions": [[0.183, 0.817, 0.183], [0.817, 0.183, 0.817], [0.320, 0.320, 0.680], [0.680, 0.680, 0.320], [0.250, 0.250, 0.250], [0.750, 0.750, 0.750]], "magnetic_moment_mub_per_cell": 0.00, "e_above_lowest_polymorph_ev_per_fu": 1.65, "energy_ev_per_cell": -29.01, "vol_a3_per_cell": 99, "delta_e_f_mev_per_atom": 173}



# 12
{"formula": "DyAl2B6", "functional": "PBE", "state": "optimized geometry", "lattice_angstrom": [[5.386, 0.000, 0.000], [-2.693, 4.664, 0.000], [0.000, 0.000, 3.540]], "species": ["Dy", "Al", "Al", "B", "B", "B", "B", "B", "B"], "fractional_positions": [[0.000, 0.000, 0.000], [0.333, 0.667, 0.000], [0.667, 0.333, 0.000], [0.000, 0.339, 0.500], [0.000, 0.661, 0.500], [0.339, 0.000, 0.500], [0.339, 0.339, 0.500], [0.661, 0.000, 0.500], [0.661, 0.661, 0.500]], "magnetic_moment_mub_per_cell": 0.00, "energy_ev_per_cell": -53.70, "vol_a3_per_cell": 89, "delta_e_f_mev_per_atom": -172}



# 13
{"formula": "DyAlB", "functional": "PBE", "state": "optimized geometry", "lattice_angstrom": [[3.773, 0.000, 0.000], [-1.887, 3.268, 0.000], [0.000, 0.000, 4.077]], "species": ["Dy", "Al", "B"], "fractional_positions": [[0.000, 0.000, 0.000], [0.333, 0.667, 0.500], [0.667, 0.333, 0.500]], "magnetic_moment_mub_per_cell": 0.00, "e_above_lowest_polymorph_ev_per_fu": 0.00, "energy_ev_per_cell": -16.15, "vol_a3_per_cell": 50, "delta_e_f_mev_per_atom": -376}



# 14
{"formula": "Dy2AlFe5B2", "functional": "PBE", "state": "optimized geometry", "lattice_angstrom": [[9.030, 0.000, 0.000], [0.000, 9.030, 0.000], [0.000, 0.000, 3.162]], "species": ["Dy", "Dy", "Dy", "Dy", "Al", "Al", "Fe", "Fe", "Fe", "Fe", "Fe", "Fe", "Fe", "Fe", "Fe", "Fe", "B", "B", "B", "B"], "fractional_positions": [[0.178, 0.322, 0.000], [0.322, 0.822, 0.000], [0.678, 0.178, 0.000], [0.822, 0.678, 0.000], [0.000, 0.000, 0.000], [0.500, 0.500, 0.000], [0.000, 0.500, 0.500], [0.068, 0.770, 0.500], [0.230, 0.068, 0.500], [0.270, 0.568, 0.500], [0.432, 0.270, 0.500], [0.500, 0.000, 0.500], [0.568, 0.730, 0.500], [0.730, 0.432, 0.500], [0.770, 0.932, 0.500], [0.932, 0.230, 0.500], [0.118, 0.618, 0.000], [0.382, 0.118, 0.000], [0.618, 0.882, 0.000], [0.882, 0.382, 0.000]], "magnetic_moment_mub_per_cell": 12.75, "energy_ev_per_cell": -141.39, "vol_a3_per_cell": 258, "delta_e_f_mev_per_atom": -208}



# 15
{"formula": "Dy3AlNi9B2", "functional": "PBE", "state": "optimized geometry", "lattice_angstrom": [[5.388, 0.000, 0.000], [-2.694, 4.666, 0.000], [0.000, 0.000, 8.417]], "species": ["Dy", "Dy", "Dy", "Al", "Ni", "Ni", "Ni", "Ni", "Ni", "Ni", "Ni", "Ni", "Ni", "B", "B"], "fractional_positions": [[0.000, 0.000, 0.000], [0.333, 0.667, 0.633], [0.667, 0.333, 0.367], [0.000, 0.000, 0.500], [0.000, 0.500, 0.000], [0.165, 0.331, 0.279], [0.165, 0.835, 0.279], [0.331, 0.165, 0.721], [0.500, 0.000, 0.000], [0.500, 0.500, 0.000], [0.669, 0.835, 0.279], [0.835, 0.165, 0.721], [0.835, 0.669, 0.721], [0.333, 0.667, 0.144], [0.667, 0.333, 0.856]], "magnetic_moment_mub_per_cell": 0.00, "energy_ev_per_cell": -89.33, "vol_a3_per_cell": 212, "delta_e_f_mev_per_atom": -426}



# 16
{"formula": "Dy2Al2BOs2", "functional": "PBE", "state": "optimized geometry", "lattice_angstrom": [[5.514, -2.042, 0.000], [5.514, 2.042, 0.000], [-4.192, 0.000, 5.723]], "species": ["Dy", "Dy", "Al", "Al", "B", "Os", "Os"], "fractional_positions": [[0.069, 0.069, 0.295], [0.931, 0.931, 0.705], [0.356, 0.356, 0.315], [0.644, 0.644, 0.685], [0.500, 0.500, 0.000], [0.292, 0.292, 0.910], [0.708, 0.708, 0.090]], "magnetic_moment_mub_per_cell": 0.00, "energy_ev_per_cell": -49.11, "vol_a3_per_cell": 129, "delta_e_f_mev_per_atom": -468}



# 17
{"formula": "Dy3AlB2Pt8", "functional": "PBE", "state": "optimized geometry", "lattice_angstrom": [[5.470, 0.000, 0.000], [-2.735, 4.737, 0.000], [0.000, 0.000, 9.423]], "species": ["Dy", "Dy", "Dy", "Al", "B", "B", "Pt", "Pt", "Pt", "Pt", "Pt", "Pt", "Pt", "Pt"], "fractional_positions": [[0.000, 0.000, 0.000], [0.333, 0.667, 0.588], [0.667, 0.333, 0.412], [0.000, 0.000, 0.500], [0.333, 0.667, 0.130], [0.667, 0.333, 0.870], [0.167, 0.333, 0.283], [0.167, 0.833, 0.283], [0.333, 0.167, 0.717], [0.333, 0.667, 0.920], [0.667, 0.333, 0.080], [0.667, 0.833, 0.283], [0.833, 0.167, 0.717], [0.833, 0.667, 0.717]], "magnetic_moment_mub_per_cell": 0.00, "energy_ev_per_cell": -90.66, "vol_a3_per_cell": 244, "delta_e_f_mev_per_atom": -816}



# 18
{"formula": "Dy3AlB2Pt9", "functional": "PBE", "state": "optimized geometry", "lattice_angstrom": [[5.727, 0.000, 0.000], [-2.863, 4.960, 0.000], [0.000, 0.000, 9.179]], "species": ["Dy", "Dy", "Dy", "Al", "B", "B", "Pt", "Pt", "Pt", "Pt", "Pt", "Pt", "Pt", "Pt", "Pt"], "fractional_positions": [[0.000, 0.000, 0.000], [0.333, 0.667, 0.604], [0.667, 0.333, 0.396], [0.000, 0.000, 0.500], [0.333, 0.667, 0.150], [0.667, 0.333, 0.850], [0.000, 0.500, 0.000], [0.164, 0.329, 0.290], [0.164, 0.836, 0.290], [0.329, 0.164, 0.710], [0.500, 0.000, 0.000], [0.500, 0.500, 0.000], [0.671, 0.836, 0.290], [0.836, 0.164, 0.710], [0.836, 0.671, 0.710]], "magnetic_moment_mub_per_cell": 0.00, "energy_ev_per_cell": -99.14, "vol_a3_per_cell": 261, "delta_e_f_mev_per_atom": -924}



# 19
{"formula": "Dy2AlB2Rh5", "functional": "PBE", "state": "optimized geometry", "lattice_angstrom": [[9.533, 0.000, 0.000], [0.000, 9.533, 0.000], [0.000, 0.000, 3.161]], "species": ["Dy", "Dy", "Dy", "Dy", "Al", "Al", "B", "B", "B", "B", "Rh", "Rh", "Rh", "Rh", "Rh", "Rh", "Rh", "Rh", "Rh", "Rh"], "fractional_positions": [[0.176, 0.324, 0.000], [0.324, 0.824, 0.000], [0.676, 0.176, 0.000], [0.824, 0.676, 0.000], [0.000, 0.000, 0.000], [0.500, 0.500, 0.000], [0.123, 0.623, 0.000], [0.377, 0.123, 0.000], [0.623, 0.877, 0.000], [0.877, 0.377, 0.000], [0.000, 0.500, 0.500], [0.069, 0.781, 0.500], [0.219, 0.069, 0.500], [0.281, 0.569, 0.500], [0.431, 0.281, 0.500], [0.500, 0.000, 0.500], [0.569, 0.719, 0.500], [0.719, 0.431, 0.500], [0.781, 0.931, 0.500], [0.931, 0.219, 0.500]], "magnetic_moment_mub_per_cell": 0.00, "energy_ev_per_cell": -143.60, "vol_a3_per_cell": 287, "delta_e_f_mev_per_atom": -874}



# 20
{"formula": "Dy2AlBRh6", "functional": "PBE", "state": "optimized geometry", "lattice_angstrom": [[0.000, 4.359, 4.359], [4.359, 0.000, 4.359], [4.359, 4.359, 0.000]], "species": ["Dy", "Dy", "Al", "B", "Rh", "Rh", "Rh", "Rh", "Rh", "Rh"], "fractional_positions": [[0.250, 0.250, 0.250], [0.750, 0.750, 0.750], [0.000, 0.000, 0.000], [0.500, 0.500, 0.500], [0.265, 0.265, 0.735], [0.265, 0.735, 0.265], [0.265, 0.735, 0.735], [0.735, 0.265, 0.265], [0.735, 0.265, 0.735], [0.735, 0.735, 0.265]], "magnetic_moment_mub_per_cell": 0.00, "energy_ev_per_cell": -70.02, "vol_a3_per_cell": 166, "delta_e_f_mev_per_atom": -629}